i) First-principles (PBE) data for La3InHg after structural relaxation, as listed in Alexandria.

symmetry	Cmcm
density	7.7	g cm⁻³

Cell: 10.4211 10.4211 5.6118 Å, 90.00 90.00 148.74°
With the nearest neighbours (Å) after each atom.
Fractional coordinates of all 10 atoms:
1 La 0.0540 0.9460 0.7500  2 Hg 3.39, 2 In 3.42, 4 La 3.55-3.69
2 La 0.2468 0.7532 0.7500  4 In 3.40-3.48, 4 Hg 3.43-3.50, 1 La 3.78
3 La 0.4350 0.5650 0.7500  2 Hg 3.27, 2 In 3.30
4 La 0.5650 0.4350 0.2500  2 Hg 3.27, 2 In 3.30
5 La 0.7532 0.2468 0.2500  4 In 3.40-3.48, 4 Hg 3.43-3.50, 1 La 3.78
6 La 0.9460 0.0540 0.2500  2 Hg 3.39, 2 In 3.42, 4 La 3.55-3.69
7 In 0.1511 0.8489 0.2500  8 La 3.30-3.48
8 In 0.8489 0.1511 0.7500  8 La 3.30-3.48
9 Hg 0.3514 0.6486 0.2500  8 La 3.27-3.50
10 Hg 0.6486 0.3514 0.7500  8 La 3.27-3.50



ii) First-principles (PBE) data for La3InHg after structural relaxation, as listed in Alexandria.

symmetry	Pm-3m
density	5.9	g cm⁻³

Cell: 5.9038 5.9038 5.9038 Å, 90.00 90.00 90.00°
With the nearest neighbours (Å) after each atom.
Fractional coordinates of all 5 atoms:
1 La 0.0000 0.0000 0.5000  2 Hg 2.95
2 La 0.0000 0.5000 0.0000  2 Hg 2.95
3 La 0.5000 0.0000 0.0000  2 Hg 2.95
4 In 0.5000 0.5000 0.5000  12 La 4.17
5 Hg 0.0000 0.0000 0.0000  6 La 2.95



Ordering by calculated energy gives the sequence i), ii), with the first entry being the most stable.



i) First-principles (PBE) data for La8InHg2 after structural relaxation, as listed in Alexandria.

symmetry	Immm
density	7.5	g cm⁻³

Cell: 9.3295 9.3295 9.3295 Å, 147.44 123.23 66.99°
With the nearest neighbours (Å) after each atom.
Fractional coordinates of all 11 atoms:
1 La 0.1186 0.3430 0.7756  3 Hg 3.34-3.35, 1 In 3.46, 5 La 3.59-3.73
2 La 0.1401 0.1401 0.0000  2 In 3.40, 8 La 3.59-3.73, 2 Hg 3.65
3 La 0.3238 0.0000 0.3238  1 La 3.13, 2 Hg 3.43
4 La 0.4326 0.6570 0.7756  3 Hg 3.34-3.35, 1 In 3.46, 5 La 3.59-3.73
5 La 0.5674 0.3430 0.2244  3 Hg 3.34-3.35, 1 In 3.46, 5 La 3.59-3.73
6 La 0.6762 0.0000 0.6762  1 La 3.13, 2 Hg 3.43
7 La 0.8599 0.8599 0.0000  2 In 3.40, 8 La 3.59-3.73, 2 Hg 3.65
8 La 0.8814 0.6570 0.2244  3 Hg 3.34-3.35, 1 In 3.46, 5 La 3.59-3.73
9 In 0.0000 0.5000 0.5000  8 La 3.40-3.46
10 Hg 0.3038 0.8038 0.5000  10 La 3.34-3.65
11 Hg 0.6962 0.1962 0.5000  10 La 3.34-3.65



ii) First-principles (PBE) data for La8InHg2 after structural relaxation, as listed in Alexandria.

symmetry	C2/m
density	7.3	g cm⁻³

Cell: 8.8478 8.8478 5.7675 Å, 100.42 100.42 118.46°
With the nearest neighbours (Å) after each atom.
Fractional coordinates of all 11 atoms:
1 La 0.0851 0.2996 0.5856  2 Hg 3.26-3.47, 2 La 3.26-3.27, 1 In 3.60
2 La 0.2269 0.7731 0.0000  2 Hg 3.14, 1 In 3.45
3 La 0.2996 0.0851 0.5856  2 Hg 3.26-3.47, 2 La 3.26-3.27, 1 In 3.60
4 La 0.3992 0.3992 0.1956  4 La 3.34-3.73, 2 Hg 3.36, 1 In 3.38
5 La 0.6008 0.6008 0.8044  4 La 3.34-3.73, 2 Hg 3.36, 1 In 3.38
6 La 0.7004 0.9149 0.4144  2 Hg 3.26-3.47, 2 La 3.26-3.27, 1 In 3.60
7 La 0.7731 0.2269 0.0000  2 Hg 3.14, 1 In 3.45
8 La 0.9149 0.7004 0.4144  2 Hg 3.26-3.47, 2 La 3.26-3.27, 1 In 3.60
9 In 0.0000 0.0000 0.0000  12 La 3.38-3.79
10 Hg 0.3084 0.6916 0.5000  8 La 3.14-3.47
11 Hg 0.6916 0.3084 0.5000  8 La 3.14-3.47



Ordering by calculated energy gives the sequence i), ii), with the first entry being the most stable.